The following is a DFT calculation (PBE) of a geometry-optimized LaPrNd2Ho2 structure.

Cell and atoms, written as extended XYZ:
```
12
Lattice="-0.100 -2.942 -4.977 3.810 -7.998 4.652 -6.582 -2.276 1.478" Properties=species:S:1:pos:R:3 pbc="T T T"
La 0.000 0.000 0.000
La -1.436 -6.608 0.576
Pr 1.855 -5.470 -0.163
Pr -3.291 -1.138 0.739
Nd 1.474 -8.705 1.758
Nd -4.345 -4.511 -0.605
Nd -2.401 -7.042 4.212
Nd -0.371 -3.232 1.918
Ho -1.063 -3.373 -1.344
Ho 0.896 -5.899 3.470
Ho -1.809 -9.843 2.496
Ho -3.668 -4.374 2.660
```

Computed properties:
For the total energy, the calculation gives -56.05 eV per cell. The formation energy is 0.06 eV per atom. The symmetry is Pnnm (58).

***

The following is a DFT calculation (PBE) of a geometry-optimized K2CaOs structure.

Cell and atoms, written as extended XYZ:
```
4
Lattice="-4.858 -11.752 -3.165 -2.426 -12.822 -1.203 -5.340 -11.967 0.096" Properties=species:S:1:pos:R:3 pbc="T T T"
Ca -9.468 -27.406 -3.204
K -12.436 -35.995 -4.208
K -6.501 -18.817 -2.200
Os -3.156 -9.135 -1.068
```

Computed properties:
For the total energy, the calculation gives -10.33 eV per cell. The formation energy is 1.27 eV per atom. The symmetry is R-3m (166). The calculation puts the polymorph energy (0 for the lowest one) at 0.510 eV/atom.

***

The following is a DFT calculation (PBE) of a geometry-optimized Ba2BiOsPt structure.

Cell and atoms, written as extended XYZ:
```
5
Lattice="6.098 0.000 0.000 0.000 4.786 0.000 0.000 0.000 6.098" Properties=species:S:1:pos:R:3 pbc="T T T"
Os 0.000 0.000 0.000
Bi 3.049 2.393 3.049
Pt 0.000 2.393 0.000
Ba 0.000 0.000 3.049
Ba 3.049 0.000 0.000
```

Computed properties:
For the total energy, the calculation gives -23.87 eV per cell. The formation energy is 0.22 eV per atom. The symmetry is P4/mmm (123).

***

The following is a DFT calculation (PBE) of a geometry-optimized CaRe2Rh structure.

Cell and atoms, written as extended XYZ:
```
4
Lattice="-3.008 0.087 0.522 -0.411 -2.280 -1.990 0.835 -5.095 5.663" Properties=species:S:1:pos:R:3 pbc="T T T"
Re 0.046 -0.281 0.312
Re -1.512 -2.305 0.609
Ca -1.090 -4.877 3.467
Rh 0.389 -2.373 2.637
```

Computed properties:
For the total energy, the calculation gives -33.34 eV per cell. The formation energy is 0.23 eV per atom. The symmetry is P4mm (99). The calculation puts the polymorph energy (0 for the lowest one) at 0.000 eV/atom.

***

The following is a DFT calculation (PBE) of a geometry-optimized ReW2Au structure.

Cell and atoms, written as extended XYZ:
```
4
Lattice="9.449 -0.013 -0.008 9.025 2.800 -0.008 9.025 1.362 2.447" Properties=species:S:1:pos:R:3 pbc="T T T"
Au 6.875 1.037 0.608
Re 20.624 3.112 1.824
W 0.107 0.016 0.009
W 13.643 2.058 1.206
```

Computed properties:
For the total energy, the calculation gives -40.24 eV per cell. The formation energy is 0.35 eV per atom. The symmetry is R-3m (166). The calculation puts the polymorph energy (0 for the lowest one) at 0.079 eV/atom.

***

The following is a DFT calculation (PBE) of a geometry-optimized K4Tl structure.

Cell and atoms, written as extended XYZ:
```
5
Lattice="7.406 0.000 0.000 -2.469 6.983 0.000 -2.469 -3.491 6.047" Properties=species:S:1:pos:R:3 pbc="T T T"
K -1.234 -1.746 3.024
K 3.703 0.000 0.000
K 1.234 1.746 3.024
K -1.234 3.491 0.000
Tl 0.000 0.000 0.000
```

Computed properties:
For the total energy, the calculation gives -6.57 eV per cell. The formation energy is 0.04 eV per atom. The symmetry is Im-3m (229). The calculation puts the polymorph energy (0 for the lowest one) at 0.063 eV/atom.